## Co3Ni2Ir2 (PBE-GGA)

Data for a relaxed Co3Ni2Ir2 crystal.

Cell: 11.0714 2.6226 6.2804 Å, 90.00 110.89 90.00°
Closest atoms and distances in Å follow each position.
Space group C2/m (No. 12)
One atom of each set of equivalent atoms:
Co (0.0000, 0.0000, 0.0000) x2  6 Co 2.54-2.62, 4 Ni 2.55, 2 Ir 2.56
Co (0.2107, 0.5000, 0.1297) x4  3 Ni 2.45-2.56, 6 Co 2.48-2.62, 3 Ir 2.60-2.70
Ni (0.0765, 0.5000, 0.7244) x4  5 Co 2.45-2.56, 4 Ir 2.59, 3 Ni 2.62-2.72
Ir (0.1397, 0.0000, 0.4236) x4  4 Co 2.56-2.70, 4 Ni 2.59, 4 Ir 2.62-2.63

Values from the calculation:
For the energy above the lowest structure with this stoichiometry, the calculation gives 18 meV per atom. For the total energy, the calculation gives -7.1822 eV/atom. For the energy of formation, the calculation gives 1.076 kcal/mol of atoms.


## CoNi2Ir (PBE-GGA)

Data for a relaxed CoNi2Ir crystal.

Cell: 2.6022 2.6022 24.9308 Å, 90.00 90.00 120.00°
Closest atoms and distances in Å follow each position.
Space group R-3m (No. 166, hexagonal axes)
One atom of each set of equivalent atoms:
Co (0.0000, 0.0000, 0.0000) x3  6 Ni 2.49, 6 Co 2.60
Ni (0.0000, 0.0000, 0.2539) x6  3 Co 2.49, 6 Ni 2.60, 3 Ir 2.64
Ir (0.0000, 0.0000, 0.5000) x3  6 Ir 2.60, 6 Ni 2.64

Values from the calculation:
For the energy above the lowest structure with this stoichiometry, the calculation gives 57 meV per atom. For the total energy, the calculation gives -6.8007 eV/atom. For the energy of formation, the calculation gives 1.884 kcal/mol of atoms.